The following is a PBE-GGA calculation of a geometry-optimized K2MnRe structure, from Alexandria via LeMat-Bulk.

Cell: 3.037 3.826 20.610 Å, 90.00 90.00 90.00°
Space group Immm (No. 71)
Asymmetric unit:
1 K 0.000 0.000 0.146 [4 per cell]
2 Mn 0.000 0.500 0.500 [2 per cell]
3 Re 0.000 0.500 0.000 [2 per cell]

Computed properties:
M_tot, μB/cell: 3.48
Formation energy, meV per atom: 878
DFT total energy, eV/atom: -5.075
Density of states at the Fermi level, states/eV per atom: 0.820
Energy above the lowest structure with this stoichiometry, eV/atom: 0.044